# 1
Below is a relaxed Sm4CoNiCl2 crystal, with properties calculated at the GGA-PBE level.

As for the magnetization: 0.0000 μB per atom. For the density of states at the Fermi level, the calculation gives 4.85 states/eV per cell. The value obtained for the uncorrected formation energy is -884 meV per atom. Its space-group type is P2/m, No. 10.

Cell lengths 3.9518, 6.8445, 7.7714 Å; angles 107.16, 90.00, 90.00 degrees
Closest atoms and distances in Å follow each position.
Element x y z (fractional)
1 Co 0.5000 0.5000 0.0000  6 Sm 2.69-2.71
2 Cl 0.0000 0.5000 0.5000  6 Sm 3.17
3 Cl 0.5000 0.0000 0.5000  6 Sm 3.20-3.22
4 Sm 0.5000 0.2405 0.2003  1 Co 2.69, 2 Ni 2.74
5 Sm 0.5000 0.7595 0.7997  1 Co 2.69, 2 Ni 2.74
6 Sm 0.0000 0.7301 0.2001  2 Co 2.71, 1 Ni 2.74
7 Sm 0.0000 0.2699 0.7999  2 Co 2.71, 1 Ni 2.74
8 Ni 0.0000 0.0000 0.0000  6 Sm 2.74

---

# 2
Below is a relaxed NaSrAgCl4 crystal, with properties calculated at the GGA-PBE level.

As for the magnetization: 0.0000 μB per atom. For the density of states at the Fermi level, the calculation gives 0.00 states/eV per cell. The value obtained for the uncorrected formation energy is -1685 meV per atom. Its space-group type is Imma, No. 74.

Cell lengths 8.0923, 8.2619, 8.2619 Å; angles 63.21, 60.68, 60.68 degrees
Closest atoms and distances in Å follow each position.
Element x y z (fractional)
1 Ag 0.6516 0.5984 0.0984  4 Cl 2.59-2.74
2 Ag 0.3484 0.4016 0.9016  4 Cl 2.59-2.74
3 Cl 0.7612 0.2487 0.7487  1 Ag 2.74, 1 Na 2.86, 2 Sr 2.91
4 Cl 0.2503 0.7688 0.7305  1 Ag 2.59, 2 Na 2.84, 1 Sr 2.89
5 Cl 0.2388 0.7513 0.2513  1 Ag 2.74, 1 Na 2.86, 2 Sr 2.91
6 Cl 0.2414 0.2487 0.7487  1 Ag 2.74, 1 Na 2.86, 2 Sr 2.91
7 Cl 0.7497 0.2312 0.2695  1 Ag 2.59, 2 Na 2.84, 1 Sr 2.89
8 Cl 0.7497 0.7695 0.7312  1 Ag 2.59, 2 Na 2.84, 1 Sr 2.89
9 Cl 0.2503 0.2305 0.2688  1 Ag 2.59, 2 Na 2.84, 1 Sr 2.89
10 Cl 0.7586 0.7513 0.2513  1 Ag 2.74, 1 Na 2.86, 2 Sr 2.91
11 Na 0.5000 0.0000 0.5000  6 Cl 2.84-2.86
12 Na 0.0000 0.0000 0.5000  6 Cl 2.84-2.86
13 Sr 0.0000 0.0000 0.0000  6 Cl 2.89-2.91
14 Sr 0.0000 0.5000 0.5000  6 Cl 2.89-2.91

---

# 3
Below is a relaxed TbNd2Pu3Te6 crystal, with properties calculated at the GGA-PBE level.

As for the magnetization: 0.4826 μB per atom. For the density of states at the Fermi level, the calculation gives 34.88 states/eV per cell. The value obtained for the uncorrected formation energy is -1253 meV per atom. Its space-group type is C2/m, No. 12.

Cell lengths 4.4355, 8.9018, 9.9270 Å; angles 102.55, 102.91, 90.00 degrees
Closest atoms and distances in Å follow each position.
Element x y z (fractional)
1 Te 0.6650 0.0798 0.3301  1 Tb 3.11, 3 Pu 3.12-3.14, 2 Nd 3.18
2 Te 0.6654 0.5889 0.3309  3 Pu 3.11-3.12, 3 Nd 3.16-3.17
3 Te 0.3350 0.9202 0.6699  1 Tb 3.11, 3 Pu 3.12-3.14, 2 Nd 3.18
4 Te 0.0018 0.7539 0.0036  2 Tb 3.12, 3 Pu 3.15-3.16, 1 Nd 3.18
5 Te 0.3346 0.4111 0.6691  3 Pu 3.11-3.12, 3 Nd 3.16-3.17
6 Te 0.9982 0.2461 0.9964  2 Tb 3.12, 3 Pu 3.15-3.16, 1 Nd 3.18
7 Pu 0.8314 0.1641 0.6627  6 Te 3.11-3.15
8 Pu 0.5000 0.5000 0.0000  6 Te 3.12-3.16
9 Pu 0.1686 0.8359 0.3373  6 Te 3.11-3.15
10 Tb 0.5000 0.0000 0.0000  6 Te 3.11-3.12
11 Nd 0.1668 0.3367 0.3336  6 Te 3.16-3.18
12 Nd 0.8332 0.6633 0.6664  6 Te 3.16-3.18